Record 1
Here is crystalline LiIn2ReRh at its relaxed geometry from the Alexandria database. Energies are from PBE.

a b c (Å): 5.024 4.347 5.024
angles (deg): 90.00 90.00 90.00
Atoms (fractional coordinates):
In1 0.000 0.000 0.500
In2 0.500 0.000 0.000
Re1 0.500 0.500 0.500
Rh1 0.000 0.000 0.000
Li1 0.000 0.500 0.000

Summary:
- ΔE_f (eV/atom) = 0.975

Record 2
Here is crystalline LiRe2Br at its relaxed geometry from the Alexandria database. Energies are from PBE.

a b c (Å): 5.392 3.152 4.119
angles (deg): 92.02 90.00 90.00
Atoms (fractional coordinates):
Re1 0.000 0.025 0.979
Re2 0.000 0.475 0.521
Li1 0.500 0.750 0.750
Br1 0.500 0.250 0.250

Summary:
- ΔE_f (raw) (eV per atom) = 0.616

Record 3
Here is crystalline ZnGeMo at its relaxed geometry from the Alexandria database. Energies are from PBE.

a b c (Å): 2.665 4.432 4.432
angles (deg): 120.00 90.00 90.00
Atoms (fractional coordinates):
Ge1 0.187 0.667 0.333
Mo1 0.654 0.333 0.667
Zn1 0.159 0.000 0.000

Summary:
- ΔE_f (eV/atom) = 0.219

Record 4
Here is crystalline TiBiO at its relaxed geometry from the Alexandria database. Energies are from PBE.

a b c (Å): 4.221 6.737 4.221
angles (deg): 71.76 89.96 108.24
Atoms (fractional coordinates):
Ti1 0.699 0.000 0.301
Ti2 0.199 0.000 0.801
Bi1 0.949 0.500 0.051
Bi2 0.449 0.500 0.551
O1 0.199 0.000 0.301
O2 0.699 0.000 0.801

Summary:
- ΔE_f (raw) (eV per atom) = -1.416

Copy entry 2 word for word.
Here is crystalline LiRe2Br at its relaxed geometry from the Alexandria database. Energies are from PBE.

a b c (Å): 5.392 3.152 4.119
angles (deg): 92.02 90.00 90.00
Atoms (fractional coordinates):
Re1 0.000 0.025 0.979
Re2 0.000 0.475 0.521
Li1 0.500 0.750 0.750
Br1 0.500 0.250 0.250

Summary:
- ΔE_f (raw) (eV per atom) = 0.616